Record 1
This record from the Alexandria database describes a relaxed structure of Ba3Ga3P5. The functional is PBE.

Computed properties:
As for the formation energy: -0.77 eV/atom. For the theoretical density, the calculation gives 4197 kg/m³.

Cell: 12.943 12.943 12.943 Å, 69.67 69.67 69.67°
Fractional positions:
Ba1 0.102 0.102 0.102
Ba2 0.140 0.652 0.225
Ba3 0.152 0.640 0.725
Ba4 0.225 0.140 0.652
Ba5 0.250 0.250 0.250
Ba6 0.275 0.848 0.360
Ba7 0.348 0.775 0.860
Ba8 0.360 0.275 0.848
Ba9 0.398 0.398 0.398
Ba10 0.602 0.602 0.602
Ba11 0.640 0.725 0.152
Ba12 0.652 0.225 0.140
Ba13 0.725 0.152 0.640
Ba14 0.750 0.750 0.750
Ba15 0.775 0.860 0.348
Ba16 0.848 0.360 0.275
Ba17 0.860 0.348 0.775
Ba18 0.898 0.898 0.898
Ga1 0.011 0.418 0.925
Ga2 0.021 0.750 0.479
Ga3 0.075 0.989 0.582
Ga4 0.082 0.489 0.575
Ga5 0.250 0.521 0.979
Ga6 0.418 0.925 0.011
Ga7 0.425 0.918 0.511
Ga8 0.479 0.021 0.750
Ga9 0.489 0.575 0.082
Ga10 0.511 0.425 0.918
Ga11 0.521 0.979 0.250
Ga12 0.575 0.082 0.489
Ga13 0.582 0.075 0.989
Ga14 0.750 0.479 0.021
Ga15 0.918 0.511 0.425
Ga16 0.925 0.011 0.418
Ga17 0.979 0.250 0.521
Ga18 0.989 0.582 0.075
P1 0.029 0.887 0.295
P2 0.052 0.124 0.391
P3 0.109 0.376 0.448
P4 0.113 0.705 0.971
P5 0.123 0.377 0.750
P6 0.124 0.391 0.052
P7 0.205 0.613 0.471
P8 0.250 0.877 0.623
P9 0.295 0.029 0.887
P10 0.376 0.448 0.109
P11 0.377 0.750 0.123
P12 0.387 0.529 0.795
P13 0.391 0.052 0.124
P14 0.448 0.109 0.376
P15 0.471 0.205 0.613
P16 0.529 0.795 0.387
P17 0.552 0.891 0.624
P18 0.609 0.948 0.876
P19 0.613 0.471 0.205
P20 0.623 0.250 0.877
P21 0.624 0.552 0.891
P22 0.705 0.971 0.113
P23 0.750 0.123 0.377
P24 0.795 0.387 0.529
P25 0.876 0.609 0.948
P26 0.877 0.623 0.250
P27 0.887 0.295 0.029
P28 0.891 0.624 0.552
P29 0.948 0.876 0.609
P30 0.971 0.113 0.705

=====

Record 2
This record from the Alexandria database describes a relaxed structure of CaTcPb. The functional is PBE.

Computed properties:
As for the formation energy: 1.18 eV/atom. As for the distance to the lowest polymorph of the same formula: 891 meV/atom. For the theoretical density, the calculation gives 6583 kg/m³. Its density of states at the Fermi level is 29.486 states/eV per cell.

Cell: 7.036 7.036 7.036 Å, 90.00 90.00 90.00°
Fractional positions:
Ca1 0.000 0.000 0.000
Ca2 0.000 0.500 0.500
Ca3 0.500 0.000 0.500
Ca4 0.500 0.500 0.000
Tc1 0.250 0.250 0.750
Tc2 0.250 0.750 0.250
Tc3 0.750 0.250 0.250
Tc4 0.750 0.750 0.750
Pb1 0.250 0.250 0.250
Pb2 0.250 0.750 0.750
Pb3 0.750 0.250 0.750
Pb4 0.750 0.750 0.250

=====

Record 3
This record from the Alexandria database describes a relaxed structure of PtC2. The functional is PBE.

Computed properties:
As for the formation energy: 1.83 eV/atom. As for the distance to the lowest polymorph of the same formula: 1504 meV/atom. For the theoretical density, the calculation gives 12885 kg/m³. Its density of states at the Fermi level is 9.179 states/eV per cell.

Cell: 3.878 3.878 7.510 Å, 90.00 90.00 90.00°
Fractional positions:
Pt1 0.000 0.250 0.375
Pt2 0.000 0.750 0.625
Pt3 0.500 0.250 0.125
Pt4 0.500 0.750 0.875
C1 0.000 0.250 0.774
C2 0.000 0.250 0.976
C3 0.000 0.750 0.024
C4 0.000 0.750 0.226
C5 0.500 0.250 0.524
C6 0.500 0.250 0.726
C7 0.500 0.750 0.274
C8 0.500 0.750 0.476

=====

Record 4
This record from the Alexandria database describes a relaxed structure of La2HoScO. The functional is PBE.

Computed properties:
For the theoretical density, the calculation gives 6544 kg/m³. As for the total energy: -6.30 eV per atom. Its density of states at the Fermi level is 6.735 states/eV per cell.

Cell: 5.264 5.264 4.612 Å, 90.00 90.00 90.00°
Fractional positions:
La1 0.000 0.500 0.000
La2 0.500 0.000 0.000
Ho1 0.000 0.000 0.500
Sc1 0.500 0.500 0.500
O1 0.000 0.000 0.000

=====

Record 5
This record from the Alexandria database describes a relaxed structure of Y3ErS4. The functional is PBE.

Computed properties:
As for the distance to the lowest polymorph of the same formula: 10 meV/atom. For the theoretical density, the calculation gives 5540 kg/m³. Its density of states at the Fermi level is 4.573 states/eV per cell.

Cell: 5.524 5.524 5.524 Å, 90.00 90.00 90.00°
Fractional positions:
Y1 0.000 0.000 0.500
Y2 0.000 0.500 0.000
Y3 0.500 0.000 0.000
Er1 0.500 0.500 0.500
S1 0.000 0.000 0.000
S2 0.000 0.500 0.500
S3 0.500 0.000 0.500
S4 0.500 0.500 0.000

=====

Record 6
This record from the Alexandria database describes a relaxed structure of Li3AlMo. The functional is PBE.

Computed properties:
As for the formation energy: 1.17 eV/atom. As for the distance to the lowest polymorph of the same formula: 0 meV/atom. For the theoretical density, the calculation gives 2876 kg/m³. Its density of states at the Fermi level is 4.436 states/eV per cell.

Cell: 4.362 4.362 4.362 Å, 90.00 90.00 90.00°
Fractional positions:
Li1 0.000 0.000 0.500
Li2 0.000 0.500 0.000
Li3 0.500 0.000 0.000
Al1 0.000 0.000 0.000
Mo1 0.500 0.500 0.500

=====

Record 7
This record from the Alexandria database describes a relaxed structure of TbSi2Ir5. The functional is PBE.

Computed properties:
For the theoretical density, the calculation gives 15193 kg/m³. As for the total energy: -8.16 eV per atom. Its density of states at the Fermi level is 12.976 states/eV per cell.

Cell: 3.877 6.894 9.620 Å, 90.00 90.00 90.00°
Fractional positions:
Tb1 0.000 0.000 0.000
Tb2 0.500 0.500 0.500
Si1 0.000 0.500 0.245
Si2 0.000 0.500 0.755
Si3 0.500 0.000 0.255
Si4 0.500 0.000 0.745
Ir1 0.000 0.201 0.356
Ir2 0.000 0.201 0.644
Ir3 0.000 0.500 0.000
Ir4 0.000 0.799 0.356
Ir5 0.000 0.799 0.644
Ir6 0.500 0.000 0.500
Ir7 0.500 0.299 0.144
Ir8 0.500 0.299 0.856
Ir9 0.500 0.701 0.144
Ir10 0.500 0.701 0.856

=====

Record 8
This record from the Alexandria database describes a relaxed structure of Ba3Mg7Hg2. The functional is PBE.

Computed properties:
As for the formation energy: -0.19 eV/atom. For the theoretical density, the calculation gives 4398 kg/m³. Its density of states at the Fermi level is 11.492 states/eV per cell.

Cell: 10.722 10.722 10.722 Å, 35.49 35.49 35.49°
Fractional positions:
Ba1 0.000 0.000 0.000
Ba2 0.145 0.145 0.145
Ba3 0.855 0.855 0.855
Mg1 0.077 0.577 0.577
Mg2 0.423 0.423 0.923
Mg3 0.423 0.923 0.423
Mg4 0.500 0.500 0.500
Mg5 0.577 0.077 0.577
Mg6 0.577 0.577 0.077
Mg7 0.923 0.423 0.423
Hg1 0.334 0.334 0.334
Hg2 0.666 0.666 0.666

=====

Record 9
This record from the Alexandria database describes a relaxed structure of NaDyCl4. The functional is PBE.

Computed properties:
As for the distance to the lowest polymorph of the same formula: 0 meV/atom. For the theoretical density, the calculation gives 3429 kg/m³. Its density of states at the Fermi level is 0.000 states/eV per cell.

Cell: 6.759 6.808 7.069 Å, 88.70 86.90 77.44°
Fractional positions:
Na1 0.229 0.195 0.028
Na2 0.771 0.805 0.972
Dy1 0.211 0.699 0.447
Dy2 0.789 0.301 0.553
Cl1 0.037 0.503 0.740
Cl2 0.096 0.003 0.703
Cl3 0.392 0.801 0.141
Cl4 0.443 0.320 0.376
Cl5 0.557 0.680 0.624
Cl6 0.608 0.199 0.859
Cl7 0.904 0.997 0.297
Cl8 0.963 0.497 0.260

=====

Record 10
This record from the Alexandria database describes a relaxed structure of CdHPd3. The functional is PBE.

Computed properties:
As for the distance to the lowest polymorph of the same formula: 466 meV/atom. For the theoretical density, the calculation gives 7562 kg/m³. Its density of states at the Fermi level is 6.644 states/eV per cell.

Cell: 7.331 7.331 5.093 Å, 90.00 90.00 136.03°
Fractional positions:
Cd1 0.179 0.821 0.750
Cd2 0.821 0.179 0.250
H1 0.423 0.577 0.750
H2 0.577 0.423 0.250
Pd1 0.000 0.000 0.000
Pd2 0.000 0.000 0.500
Pd3 0.098 0.394 0.750
Pd4 0.394 0.098 0.250
Pd5 0.606 0.902 0.750
Pd6 0.902 0.606 0.250

=====

Record 11
This record from the Alexandria database describes a relaxed structure of FeMoCl. The functional is PBE.

Computed properties:
As for the distance to the lowest polymorph of the same formula: 125 meV/atom. For the theoretical density, the calculation gives 6561 kg/m³. Its density of states at the Fermi level is 10.798 states/eV per cell.

Cell: 3.108 4.971 12.270 Å, 90.00 90.00 90.00°
Fractional positions:
Fe1 0.000 0.000 0.000
Fe2 0.000 0.500 0.500
Fe3 0.500 0.000 0.500
Fe4 0.500 0.500 0.000
Mo1 0.000 0.000 0.651
Mo2 0.000 0.500 0.151
Mo3 0.500 0.000 0.151
Mo4 0.500 0.500 0.651
Cl1 0.000 0.000 0.329
Cl2 0.000 0.500 0.829
Cl3 0.500 0.000 0.829
Cl4 0.500 0.500 0.329

=====

Record 12
This record from the Alexandria database describes a relaxed structure of Pm12Er5Sc. The functional is PBE.

Computed properties:
As for the formation energy: 0.11 eV/atom. For the theoretical density, the calculation gives 7360 kg/m³. Its density of states at the Fermi level is 33.884 states/eV per cell.

Cell: 10.526 10.526 5.915 Å, 90.00 90.00 115.52°
Fractional positions:
Pm1 0.001 0.320 0.499
Pm2 0.155 0.155 0.001
Pm3 0.174 0.501 0.999
Pm4 0.320 0.001 0.499
Pm5 0.344 0.344 0.501
Pm6 0.499 0.826 0.001
Pm7 0.501 0.174 0.999
Pm8 0.656 0.656 0.499
Pm9 0.680 0.999 0.501
Pm10 0.826 0.499 0.001
Pm11 0.845 0.845 0.999
Pm12 0.999 0.680 0.501
Er1 0.171 0.829 0.000
Er2 0.328 0.672 0.500
Er3 0.500 0.500 0.000
Er4 0.672 0.328 0.500
Er5 0.829 0.171 0.000
Sc1 0.000 0.000 0.500